No. 1
SrBe3As3 (PBE, relaxed); formation enthalpy at 0 K = -404.2 meV/atom; crystal system = cubic; ΔE to the lowest computed polymorph = 0.000 eV/atom; density of states at the Fermi level = 0.345 states/eV per atom
1.0
6.410 0.000 0.000
0.000 6.410 0.000
0.000 0.000 6.410
Sr Be As
2 6 6
direct
0.000 0.000 0.000 Sr
0.500 0.500 0.500 Sr
0.000 0.250 0.500 Be
0.000 0.750 0.500 Be
0.250 0.500 0.000 Be
0.500 0.000 0.250 Be
0.500 0.000 0.750 Be
0.750 0.500 0.000 Be
0.000 0.500 0.250 As
0.000 0.500 0.750 As
0.250 0.000 0.500 As
0.500 0.250 0.000 As
0.500 0.750 0.000 As
0.750 0.000 0.500 As

***

No. 2
Re2HgSb (PBE, relaxed); crystal system = orthorhombic; ΔE to the lowest computed polymorph = 0.715 eV/atom; density of states at the Fermi level = 1.026 states/eV per atom
1.0
3.102 0.000 0.000
0.000 4.660 0.000
0.000 0.000 5.040
Re Hg Sb
2 1 1
direct
0.000 0.000 0.000 Re
0.500 0.000 0.500 Re
0.000 0.500 0.500 Hg
0.500 0.500 0.000 Sb

***

No. 3
Ac3Mg4Sn2 (PBE, relaxed); formation enthalpy at 0 K = -367.5 meV/atom; crystal system = monoclinic; density of states at the Fermi level = 0.798 states/eV per atom
1.0
6.060 -2.569 0.000
6.060 2.569 0.000
-3.881 0.000 8.990
Ac Mg Sn
3 4 2
direct
0.000 0.000 0.000 Ac
0.330 0.330 0.336 Ac
0.670 0.670 0.664 Ac
0.044 0.044 0.378 Mg
0.274 0.274 0.940 Mg
0.726 0.726 0.060 Mg
0.956 0.956 0.622 Mg
0.393 0.393 0.725 Sn
0.607 0.607 0.275 Sn

***

No. 4
CaGaAg2 (PBE, relaxed); formation enthalpy at 0 K = -174.4 meV/atom; crystal system = tetragonal; density of states at the Fermi level = 0.409 states/eV per atom
1.0
4.456 0.000 0.000
0.000 4.456 0.000
0.000 0.000 4.279
Ca Ga Ag
1 1 2
direct
0.000 0.000 0.000 Ca
0.500 0.500 0.000 Ga
0.000 0.500 0.500 Ag
0.500 0.000 0.500 Ag

***

No. 5
TbPmPa (PBE, relaxed); formation enthalpy at 0 K = 169.7 meV/atom; crystal system = orthorhombic; ΔE to the lowest computed polymorph = 0.020 eV/atom; density of states at the Fermi level = 1.706 states/eV per atom
1.0
2.389 -7.849 0.000
2.389 7.849 0.000
0.000 0.000 4.786
Tb Pm Pa
2 2 2
direct
0.094 0.906 0.750 Tb
0.906 0.094 0.250 Tb
0.406 0.594 0.750 Pm
0.594 0.406 0.250 Pm
0.250 0.750 0.250 Pa
0.750 0.250 0.750 Pa

***

No. 6
CoBi3Br (PBE, relaxed); crystal system = cubic; ΔE to the lowest computed polymorph = 1.092 eV/atom; density of states at the Fermi level = 1.424 states/eV per atom
1.0
5.636 0.000 0.000
0.000 5.636 0.000
0.000 0.000 5.636
Co Bi Br
1 3 1
direct
0.000 0.000 0.000 Co
0.000 0.500 0.500 Bi
0.500 0.000 0.500 Bi
0.500 0.500 0.000 Bi
0.500 0.500 0.500 Br